(1)
VASP calculation (PBE-GGA) on an optimized crystal structure of TePdCl.

Geometry as CIF:
```
data_TePdCl
_symmetry_space_group_name_H-M 'P -1'
_symmetry_Int_Tables_number 2
_symmetry_space_group_name_Hall '-P 1'
_cell_length_a 4.0229
_cell_length_b 4.8764
_cell_length_c 7.9035
_cell_angle_alpha 77.31
_cell_angle_beta 89.73
_cell_angle_gamma 89.99
loop_
_atom_site_label
_atom_site_fract_x
_atom_site_fract_y
_atom_site_fract_z
Te1 0.2483 0.4279 0.1752
Pd1 0.2508 0.8596 0.9188
Cl1 0.2536 0.2126 0.6512
```

Properties
As for the density of states at the Fermi level: 0.896 states/eV/f.u. As for the formation energy without anion corrections: -0.377 eV per atom.

---

(2)
VASP calculation (PBE-GGA) on an optimized crystal structure of PuUOsRu.

Geometry as CIF:
```
data_PuUOsRu
_symmetry_space_group_name_H-M 'F -4 3 m'
_symmetry_Int_Tables_number 216
_symmetry_space_group_name_Hall 'F -4 2 3'
_cell_length_a 6.5192
_cell_length_b 6.5192
_cell_length_c 6.5192
_cell_angle_alpha 90.00
_cell_angle_beta 90.00
_cell_angle_gamma 90.00
loop_
_atom_site_label
_atom_site_fract_x
_atom_site_fract_y
_atom_site_fract_z
Pu1 0.0000 0.0000 0.0000
U1 0.2500 0.2500 0.7500
Os1 0.0000 0.0000 0.5000
Ru1 0.2500 0.2500 0.2500
```

Properties
For the formation energy, the calculation gives -120.0 meV per atom. As for the density of states at the Fermi level: 7.035 states/eV/f.u.

---

(3)
VASP calculation (PBE-GGA) on an optimized crystal structure of BaCa2OsO8.

Geometry as CIF:
```
data_BaCa2OsO8
_symmetry_space_group_name_H-M 'P -1'
_symmetry_Int_Tables_number 2
_symmetry_space_group_name_Hall '-P 1'
_cell_length_a 4.4788
_cell_length_b 5.2737
_cell_length_c 7.2876
_cell_angle_alpha 89.41
_cell_angle_beta 72.11
_cell_angle_gamma 87.78
loop_
_atom_site_label
_atom_site_fract_x
_atom_site_fract_y
_atom_site_fract_z
Ba1 0.0000 0.0000 0.0000
Ca1 0.2976 0.4912 0.3093
Os1 0.5000 0.0000 0.5000
O1 0.1753 0.2320 0.6162
O2 0.2375 0.7266 0.6025
O3 0.3377 0.5031 0.9887
O4 0.3860 0.0046 0.2710
```

Properties
As for the density of states at the Fermi level: 1.951 states/eV/f.u. As for the formation energy without anion corrections: -1.887 eV per atom.

---

(4)
VASP calculation (PBE-GGA) on an optimized crystal structure of BiPt.

Geometry as CIF:
```
data_BiPt
_symmetry_space_group_name_H-M 'P 42/m n m'
_symmetry_Int_Tables_number 136
_symmetry_space_group_name_Hall '-P 4n 2n'
_cell_length_a 8.1348
_cell_length_b 8.1348
_cell_length_c 3.6267
_cell_angle_alpha 90.00
_cell_angle_beta 90.00
_cell_angle_gamma 90.00
loop_
_atom_site_label
_atom_site_fract_x
_atom_site_fract_y
_atom_site_fract_z
Bi1 0.2057 0.2057 0.0000
Pt1 0.1222 0.8778 0.0000
```

Properties
For the formation energy, the calculation gives 48.4 meV per atom. As for the density of states at the Fermi level: 1.423 states/eV/f.u.

---

(5)
VASP calculation (PBE-GGA) on an optimized crystal structure of Pa3B2C6.

Geometry as CIF:
```
data_Pa3B2C6
_symmetry_space_group_name_H-M 'I 4/m m m'
_symmetry_Int_Tables_number 139
_symmetry_space_group_name_Hall '-I 4 2'
_cell_length_a 3.5733
_cell_length_b 3.5733
_cell_length_c 19.8352
_cell_angle_alpha 90.00
_cell_angle_beta 90.00
_cell_angle_gamma 90.00
loop_
_atom_site_label
_atom_site_fract_x
_atom_site_fract_y
_atom_site_fract_z
Pa1 0.0000 0.0000 0.0000
Pa2 0.0000 0.0000 0.1790
B1 0.0000 0.0000 0.3845
C1 0.0000 0.0000 0.3023
C2 0.0000 0.5000 0.0866
```

Properties
For the formation energy, the calculation gives 195.3 meV per atom. As for the density of states at the Fermi level: 4.843 states/eV/f.u.

---

(6)
VASP calculation (PBE-GGA) on an optimized crystal structure of HgPtPb6.

Geometry as CIF:
```
data_HgPtPb6
_symmetry_space_group_name_H-M 'A m m 2'
_symmetry_Int_Tables_number 38
_symmetry_space_group_name_Hall 'A 2 -2'
_cell_length_a 4.4356
_cell_length_b 9.2573
_cell_length_c 11.2645
_cell_angle_alpha 90.00
_cell_angle_beta 90.00
_cell_angle_gamma 90.00
loop_
_atom_site_label
_atom_site_fract_x
_atom_site_fract_y
_atom_site_fract_z
Hg1 0.0000 0.0000 0.0000
Pt1 0.5000 0.0000 0.6262
Pb1 0.0000 0.0000 0.4475
Pb2 0.0000 0.1832 0.7227
Pb3 0.5000 0.0000 0.2173
Pb4 0.5000 0.2374 0.9773
```

Properties
For the formation energy, the calculation gives -21.2 meV per atom. As for the density of states at the Fermi level: 5.176 states/eV/f.u. The distance to the lowest polymorph of the same formula comes out at 0.000 eV/atom.

---

(7)
VASP calculation (PBE-GGA) on an optimized crystal structure of Pm2PuAl.

Geometry as CIF:
```
data_Pm2PuAl
_symmetry_space_group_name_H-M 'F m -3 m'
_symmetry_Int_Tables_number 225
_symmetry_space_group_name_Hall '-F 4 2 3'
_cell_length_a 7.6280
_cell_length_b 7.6280
_cell_length_c 7.6280
_cell_angle_alpha 90.00
_cell_angle_beta 90.00
_cell_angle_gamma 90.00
loop_
_atom_site_label
_atom_site_fract_x
_atom_site_fract_y
_atom_site_fract_z
Pm1 0.2500 0.2500 0.2500
Pu1 0.0000 0.0000 0.0000
Al1 0.0000 0.0000 0.5000
```

Properties
For the formation energy, the calculation gives 22.5 meV per atom. As for the density of states at the Fermi level: 15.586 states/eV/f.u. The distance to the lowest polymorph of the same formula comes out at 0.089 eV/atom.

---

(8)
VASP calculation (PBE-GGA) on an optimized crystal structure of Sm7Cd2In2.

Geometry as CIF:
```
data_Sm7Cd2In2
_symmetry_space_group_name_H-M 'C m m m'
_symmetry_Int_Tables_number 65
_symmetry_space_group_name_Hall '-C 2 2'
_cell_length_a 7.7191
_cell_length_b 11.2727
_cell_length_c 8.2665
_cell_angle_alpha 90.00
_cell_angle_beta 90.00
_cell_angle_gamma 90.00
loop_
_atom_site_label
_atom_site_fract_x
_atom_site_fract_y
_atom_site_fract_z
Sm1 0.0000 0.0000 0.0000
Sm2 0.0000 0.5000 0.2522
Sm3 0.2500 0.2500 0.2915
Cd1 0.0000 0.2867 0.0000
In1 0.1825 0.0000 0.5000
```

Properties
For the formation energy, the calculation gives -9.4 meV per atom. As for the density of states at the Fermi level: 13.452 states/eV/f.u.